5
Lattice="-3.845 2.492 0.952 -0.869 -2.749 3.687 2.751 3.111 2.967" Properties=species:S:1:pos:R:3 comment="NaHfBiB2 PBE relaxed" density_g_cm3=6.418 total_energy_ev_per_atom=-3.598 magmom_total_mub_per_fu=0.0 pbc="T T T"
B -1.923 1.246 0.476
B -0.434 -1.374 1.843
Bi 0.000 0.000 0.000
Na 1.375 1.555 1.484
Hf -0.982 1.427 3.803

14
Lattice="8.288 0.000 0.000 0.000 8.288 0.000 0.000 0.000 8.288" Properties=species:S:1:pos:R:3 comment="KTl3Cd3 PBE relaxed" density_g_cm3=5.772 polymorph_energy_mev_per_atom=191.3 magmom_total_mub_per_fu=0.0 pbc="T T T"
Tl 0.000 2.072 4.144
Tl 0.000 6.216 4.144
Tl 6.216 4.144 0.000
Tl 4.144 0.000 6.216
Tl 2.072 4.144 0.000
Tl 4.144 0.000 2.072
Cd 6.216 0.000 4.144
Cd 2.072 0.000 4.144
Cd 4.144 6.216 0.000
Cd 0.000 4.144 2.072
Cd 4.144 2.072 0.000
Cd 0.000 4.144 6.216
K 0.000 0.000 0.000
K 4.144 4.144 4.144

4
Lattice="-5.403 0.168 -1.256 0.892 -2.551 -4.847 1.979 -2.331 4.631" Properties=species:S:1:pos:R:3 comment="BaCd3 PBE relaxed" density_g_cm3=6.631 total_energy_ev_per_atom=-1.381 magmom_total_mub_per_fu=0.0 pbc="T T T"
Cd -2.541 -1.372 -2.770
Cd 0.100 -3.176 -1.247
Cd -3.203 -1.898 0.338
Ba -0.285 -0.180 0.281

12
Lattice="-1.271 3.392 0.469 -4.979 -1.476 -2.824 -6.768 -4.925 17.274" Properties=species:S:1:pos:R:3 comment="Pr2Nd7Tm3 PBE relaxed" density_g_cm3=7.223 polymorph_energy_mev_per_atom=24.2 magmom_total_mub_per_fu=0.0 pbc="T T T"
Nd -4.298 -1.691 0.576
Nd -7.469 -1.685 6.164
Nd -10.306 -3.565 12.069
Nd -5.549 -1.323 8.755
Nd -7.448 -4.709 13.873
Nd 0.000 0.000 0.000
Nd -2.711 0.557 2.849
Tm -8.165 -4.259 8.672
Tm -3.125 0.958 -1.178
Tm -3.581 -2.141 5.778
Pr -6.146 -0.806 3.392
Pr -6.872 -2.202 11.526

7
Lattice="4.543 0.000 0.000 0.000 4.543 0.000 2.271 2.271 7.099" Properties=species:S:1:pos:R:3 comment="Tl2Cr4Ni PBE relaxed" density_g_cm3=7.656 total_energy_ev_per_atom=-5.984 magmom_total_mub_per_fu=15.5 pbc="T T T"
Cr 2.271 2.271 4.669
Cr 2.271 0.000 0.000
Cr 0.000 2.271 0.000
Cr 4.543 4.543 2.430
Tl 4.543 4.543 5.215
Tl 2.271 2.271 1.884
Ni 0.000 0.000 0.000

10
Lattice="7.177 0.000 0.000 0.000 7.177 0.000 0.000 0.000 3.197" Properties=species:S:1:pos:R:3 comment="Nb2Tc2H PBE relaxed" density_g_cm3=7.720 polymorph_energy_mev_per_atom=0.0 magmom_total_mub_per_fu=0.0 pbc="T T T"
Tc 6.140 4.626 0.000
Tc 4.626 1.037 0.000
Tc 1.037 2.551 0.000
Tc 2.551 6.140 0.000
H 3.589 3.589 0.000
H 0.000 0.000 0.000
Nb 4.695 6.071 1.599
Nb 1.106 4.695 1.599
Nb 6.071 2.482 1.599
Nb 2.482 1.106 1.599